# MnZnTc2

A relaxed MnZnTc2 crystal (PBE, Alexandria via LeMat-Bulk).

## Properties
- magnetization (μB per formula unit) = 3.70
- space group = No. 216
- electronic total energy (eV for the cell shown) = -30.57

Cell lengths 4.3194, 4.3194, 4.3194 Å; angles 60.00, 60.00, 60.00 degrees
Fractional positions:
Mn 0.0000 0.0000 0.0000
Zn 0.7500 0.7500 0.7500
Tc 0.2500 0.2500 0.2500
Tc 0.5000 0.5000 0.5000